GGA-PBE ZrTa3Tl, optimized geometry; ΔE_f = 2.096 eV per atom; density of states at the Fermi level = 6.8 states/eV/f.u.; E above lowest polymorph = 0.238 eV/atom; mass density = 10.7 g/cm³; crystal system = cubic
1.0
5.063 0.000 0.000
0.000 5.063 0.000
0.000 0.000 5.063
Ta Tl Zr
3 1 1
direct
0.000 0.000 0.500
0.000 0.500 0.000
0.500 0.000 0.000
0.000 0.000 0.000
0.500 0.500 0.500



GGA-PBE ZrTaTl2, optimized geometry; ΔE_f = 0.316 eV per atom; density of states at the Fermi level = 2.0 states/eV/f.u.; E above lowest polymorph = 0.035 eV/atom; mass density = 13.1 g/cm³; crystal system = monoclinic
1.0
6.939 0.040 0.129
-2.802 4.695 -0.082
1.335 0.833 2.659
Zr Tl Ta
1 2 1
direct
0.000 0.500 0.500
0.500 0.000 0.500
0.000 0.000 0.000
0.500 0.500 0.000



GGA-PBE ZrTa2Tl, optimized geometry; ΔE_f = 0.100 eV per atom; density of states at the Fermi level = 3.9 states/eV/f.u.; E above lowest polymorph = 0.000 eV/atom; mass density = 13.3 g/cm³; crystal system = tetragonal
1.0
-0.801 3.288 0.847
-1.689 -1.140 2.831
5.710 0.465 3.593
Zr Ta Tl
1 2 1
direct
0.500 0.500 0.769
0.000 0.000 0.018
0.500 0.500 0.224
0.000 0.000 0.490



GGA-PBE ZrTa2Tl, optimized geometry; ΔE_f = 0.241 eV per atom; density of states at the Fermi level = 3.7 states/eV/f.u.; E above lowest polymorph = 0.141 eV/atom; mass density = 13.2 g/cm³; crystal system = monoclinic
1.0
4.577 0.000 0.000
0.000 3.055 0.044
0.000 1.636 5.944
Ta Zr Tl
2 1 1
direct
0.000 0.038 0.007
0.500 0.207 0.227
0.500 0.775 0.774
0.000 0.480 0.493



GGA-PBE ZrTa2Tl, optimized geometry; ΔE_f = 0.349 eV per atom; density of states at the Fermi level = 4.4 states/eV/f.u.; E above lowest polymorph = 0.249 eV/atom; mass density = 13.2 g/cm³; crystal system = orthorhombic
1.0
2.990 -0.001 0.000
-0.856 2.865 0.000
0.000 0.000 9.638
Ta Tl Zr
2 1 1
direct
0.000 0.000 0.503
0.000 0.000 0.997
0.500 0.500 0.250
0.500 0.500 0.750



GGA-PBE ZrTaTl2, optimized geometry; ΔE_f = 0.329 eV per atom; density of states at the Fermi level = 1.7 states/eV/f.u.; E above lowest polymorph = 0.048 eV/atom; mass density = 12.6 g/cm³; crystal system = monoclinic
1.0
6.109 0.076 0.554
5.266 3.097 0.554
1.715 0.478 5.025
Zr Ta Tl
1 1 2
direct
0.482 0.482 0.457
0.763 0.763 0.800
0.012 0.012 0.925
0.243 0.243 0.318



GGA-PBE ZrTaTl2, optimized geometry; ΔE_f = 0.340 eV per atom; density of states at the Fermi level = 3.2 states/eV/f.u.; E above lowest polymorph = 0.059 eV/atom; mass density = 12.9 g/cm³; crystal system = tetragonal
1.0
5.686 0.003 0.000
2.486 5.114 0.000
-4.086 -2.558 3.015
Zr Tl Ta
1 2 1
direct
0.500 0.500 0.000
0.000 0.000 0.000
0.250 0.750 0.500
0.750 0.250 0.500



GGA-PBE ZrTa2Tl, optimized geometry; ΔE_f = 0.385 eV per atom; density of states at the Fermi level = 3.6 states/eV/f.u.; E above lowest polymorph = 0.285 eV/atom; mass density = 13.2 g/cm³; crystal system = tetragonal
1.0
-0.095 -2.760 -1.071
2.294 0.609 -1.772
5.963 -2.824 6.749
Tl Ta Zr
1 2 1
direct
0.500 0.500 0.250
0.000 0.000 0.002
0.000 0.000 0.498
0.500 0.500 0.750